The following is a GGA-PBE calculation of a relaxed LaMo3 crystal, from Alexandria via LeMat-Bulk.

Cell and atoms, written as CIF:
```
data_LaMo3
_cell_length_a 4.278
_cell_length_b 4.278
_cell_length_c 4.278
_cell_angle_alpha 90.00
_cell_angle_beta 90.00
_cell_angle_gamma 90.00
_space_group_name_H-M_alt 'P 1'
_space_group_IT_number 1
_space_group_name_Hall 'P 1'
loop_
_atom_site_label
_atom_site_type_symbol
_atom_site_fract_x
_atom_site_fract_y
_atom_site_fract_z
La1 La 0.000 0.000 0.000
Mo1 Mo 0.000 0.500 0.500
Mo2 Mo 0.500 0.000 0.500
Mo3 Mo 0.500 0.500 0.000
```

DOS(E_F) = 8.66 states/eV per cell
Volume = 78.3 Å³/f.u.
DFT formation energy = 1.102 eV/atom
Crystal system = cubic